No. 1
RbTe2MoAuSe | GGA-PBE | relaxed

Calculated values
Uncorrected energy ... -104.8 eV/cell
Crystal system ... orthorhombic

```
data_RbTe2MoAuSe
_chemical_formula_sum 'Rb4 Te8 Mo4 Au4 Se4'
_cell_length_a 4.107
_cell_length_b 16.307
_cell_length_c 10.558
_cell_angle_alpha 90.00
_cell_angle_beta 90.00
_cell_angle_gamma 90.00
_space_group_name_H-M_alt 'C m c m'
_space_group_IT_number 63
_space_group_name_Hall '-C 2c 2'
loop_
_atom_site_label
_atom_site_fract_x
_atom_site_fract_y
_atom_site_fract_z
_atom_site_occupancy
Rb1 0.000 0.244 0.250 1
Te1 0.000 0.381 0.524 1
Mo1 0.000 0.000 0.000 1
Au1 0.000 0.456 0.750 1
Se1 0.000 0.060 0.750 1
```

No. 2
Dy2CdGaPd4 | GGA-PBE | relaxed

Calculated values
Uncorrected energy ... -40.0 eV/cell
Crystal system ... tetragonal

```
data_Dy2CdGaPd4
_chemical_formula_sum 'Dy2 Cd1 Ga1 Pd4'
_cell_length_a 4.736
_cell_length_b 4.736
_cell_length_c 6.730
_cell_angle_alpha 90.00
_cell_angle_beta 90.00
_cell_angle_gamma 90.00
_space_group_name_H-M_alt 'P 4/m m m'
_space_group_IT_number 123
_space_group_name_Hall '-P 4 2'
loop_
_atom_site_label
_atom_site_fract_x
_atom_site_fract_y
_atom_site_fract_z
_atom_site_occupancy
Dy1 0.000 0.000 0.000 1
Dy2 0.500 0.500 0.500 1
Cd1 0.000 0.000 0.500 1
Ga1 0.500 0.500 0.000 1
Pd1 0.000 0.500 0.237 1
```

No. 3
Ac4Tm4O11 | GGA-PBE | relaxed

Calculated values
Relative energy among the computed polymorphs ... 3 meV per atom
Crystal system ... triclinic

```
data_Ac4Tm4O11
_chemical_formula_sum 'Ac4 Tm4 O11'
_cell_length_a 5.963
_cell_length_b 6.065
_cell_length_c 8.495
_cell_angle_alpha 89.81
_cell_angle_beta 89.94
_cell_angle_gamma 89.75
_space_group_name_H-M_alt 'P 1'
_space_group_IT_number 1
loop_
_space_group_symop_operation_xyz
'x,y,z'
loop_
_atom_site_label
_atom_site_fract_x
_atom_site_fract_y
_atom_site_fract_z
_atom_site_occupancy
Ac1 0.000 0.000 0.000 1
Ac2 0.017 0.077 0.499 1
Ac3 0.498 0.589 0.500 1
Ac4 0.521 0.499 0.006 1
Tm1 0.005 0.539 0.754 1
Tm2 0.011 0.541 0.253 1
Tm3 0.508 0.039 0.755 1
Tm4 0.512 0.042 0.254 1
O1 0.116 0.583 0.003 1
O2 0.215 0.831 0.694 1
O3 0.217 0.836 0.312 1
O4 0.313 0.342 0.311 1
O5 0.405 0.079 0.005 1
O6 0.612 0.002 0.506 1
O7 0.716 0.746 0.197 1
O8 0.716 0.748 0.813 1
O9 0.798 0.248 0.813 1
O10 0.814 0.241 0.198 1
O11 0.903 0.500 0.504 1
```

No. 4
Tc2AgMo | GGA-PBE | relaxed

Calculated values
Energy of formation ... 13.4 kcal/mol of atoms
Crystal system ... cubic

```
data_Tc2AgMo
_chemical_formula_sum 'Tc8 Ag4 Mo4'
_cell_length_a 6.294
_cell_length_b 6.294
_cell_length_c 6.294
_cell_angle_alpha 90.00
_cell_angle_beta 90.00
_cell_angle_gamma 90.00
_space_group_name_H-M_alt 'F -4 3 m'
_space_group_IT_number 216
_space_group_name_Hall 'F -4 2 3'
loop_
_atom_site_label
_atom_site_fract_x
_atom_site_fract_y
_atom_site_fract_z
_atom_site_occupancy
Tc1 0.000 0.000 0.000 1
Tc2 0.250 0.250 0.250 1
Ag1 0.000 0.000 0.500 1
Mo1 0.250 0.250 0.750 1
```